No. 1
Here is an optimized crystal structure of YCo2Au from Alexandria. Energies are from PBE.

The structure in POSCAR format:
```
YCo2Au
1.0
-4.0489 -2.1794 0.3135
-0.5410 -3.4327 3.0275
-2.6595 0.6021 3.7157
Co Y Au
2 1 1
direct
0.0000 0.0000 0.0000
0.2500 0.2500 0.2500
0.7500 0.7500 0.7500
0.5000 0.5000 0.5000
```

## Properties
**D(E_F)**: 1.14 states/eV per atom
**Total moment**: 3.10 μB per formula unit
**Energy relative to the lowest polymorph listed for this composition**: 258.7 meV/atom
**DFT total energy**: -5.9375 eV/atom

No. 2
Here is an optimized crystal structure of NaLa3Se2Cl6 from Alexandria. Energies are from PBE.

The structure in POSCAR format:
```
NaLa3Se2Cl6
1.0
6.2801 0.0000 0.4139
0.0000 8.6508 0.0000
-0.3663 -4.3254 7.1895
Cl La Se Na
6 3 2 1
direct
0.7475 0.3345 0.1610
0.7475 0.8265 0.1610
0.7212 0.8336 0.6673
0.2525 0.6655 0.8390
0.2788 0.1664 0.3327
0.2525 0.1735 0.8390
0.0000 0.5000 0.0000
0.5000 0.0000 0.5000
0.5000 0.5000 0.5000
0.7557 0.3278 0.6555
0.2443 0.6722 0.3445
0.5000 0.0000 0.0000
```

## Properties
**Uncorrected formation energy**: -2119 meV per atom
**D(E_F)**: 0.00 states/eV per atom
**Total moment**: 0.01 μB per formula unit
**DFT total energy**: -4.9653 eV/atom

No. 3
Here is an optimized crystal structure of LiTi2S6 from Alexandria. Energies are from PBE.

The structure in POSCAR format:
```
LiTi2S6
1.0
5.7596 0.0000 0.0000
0.0000 5.7596 0.0000
0.0000 0.0000 10.9476
S Ti Li
12 4 2
direct
0.7108 0.7108 0.1914
0.7108 0.7108 0.8086
0.7981 0.2019 0.0000
0.2892 0.2892 0.8086
0.7019 0.7019 0.5000
0.7892 0.2108 0.3086
0.2108 0.7892 0.3086
0.2108 0.7892 0.6914
0.7892 0.2108 0.6914
0.2019 0.7981 0.0000
0.2981 0.2981 0.5000
0.2892 0.2892 0.1914
0.5000 0.5000 0.3469
0.5000 0.5000 0.6531
0.0000 0.0000 0.1531
0.0000 0.0000 0.8469
0.5000 0.5000 0.0000
0.0000 0.0000 0.5000
```

## Properties
**Uncorrected formation energy**: -739 meV per atom
**D(E_F)**: 0.89 states/eV per atom
**Total moment**: 0.00 μB per formula unit
**DFT total energy**: -5.4573 eV/atom

No. 4
Here is an optimized crystal structure of YHfGaAg from Alexandria. Energies are from PBE.

The structure in POSCAR format:
```
YHfGaAg
1.0
4.9398 0.0000 0.0000
2.4699 4.2780 0.0000
2.4699 1.4260 4.0333
Y Hf Ag Ga
1 1 1 1
direct
0.7500 0.7500 0.7500
0.2500 0.2500 0.2500
0.0000 0.0000 0.0000
0.5000 0.5000 0.5000
```

## Properties
**D(E_F)**: 0.61 states/eV per atom
**Total moment**: 0.82 μB per formula unit
**DFT total energy**: -5.8219 eV/atom